No. 1
This record from the Alexandria database describes an optimized crystal structure of Ho3Tl4Zn2. The functional is GGA-PBE.

Computed properties:
The total magnetization is 0.000 μB/cell. The energy of formation comes out at -0.22 eV per atom. The calculation puts the volume at 220.0 Å³/f.u. For the density of states at the Fermi level, the calculation gives 9.625 states/eV per cell.

a = 11.2270 Å, b = 4.8198 Å, c = 9.0759 Å
α = 90.00°, β = 116.39°, γ = 90.00°
Last column: nearest neighbours and their distance in Å.
Space group C2/m (No. 12)
Unique sites:
Ho 0.0000 0.0000 0.0000  6 Tl 3.11-3.36, 4 Zn 3.36
Ho 0.1650 0.5000 0.6675  8 Tl 3.18-3.49, 4 Zn 3.26-3.40
Tl 0.0793 0.0000 0.4036  2 Zn 2.75, 1 Tl 3.00
Tl 0.1832 0.5000 0.0271  1 Zn 2.76, 2 Tl 2.99
Zn 0.1197 0.5000 0.2874  3 Tl 2.75-2.76



No. 2
This record from the Alexandria database describes an optimized crystal structure of Y3Ni2. The functional is GGA-PBE.

Computed properties:
The total magnetization is 0.000 μB/cell. The energy of formation comes out at -0.36 eV per atom. The calculation puts the volume at 115.4 Å³/f.u. For the density of states at the Fermi level, the calculation gives 75.810 states/eV per cell.

a = 7.0910 Å, b = 7.0910 Å, c = 36.7065 Å
α = 90.00°, β = 90.00°, γ = 90.00°
Last column: nearest neighbours and their distance in Å.
Space group P4_12_12 (No. 92)
Unique sites:
Y 0.0120 0.1646 0.0894  4 Ni 2.80-2.85
Y 0.0158 0.2088 0.6575  6 Ni 2.86-3.03
Y 0.0350 0.0350 0.5000  4 Ni 2.74-3.04
Y 0.0610 0.3075 0.2644  3 Ni 2.73-2.88
Y 0.1433 0.6933 0.6743  5 Ni 2.77-2.95
Y 0.1600 0.3360 0.8186  4 Ni 2.79-2.88
Y 0.1820 0.8180 0.2500  4 Ni 2.79-2.81
Ni 0.0115 0.3091 0.9514  2 Ni 2.51-2.52, 2 Y 2.79-2.80
Ni 0.0119 0.6534 0.8561  1 Ni 2.62, 6 Y 2.77-2.90
Ni 0.0547 0.6806 0.3841  2 Ni 2.52-2.62
Ni 0.1028 0.6250 0.9765  1 Ni 2.51, 3 Y 2.73-2.79



No. 3
This record from the Alexandria database describes an optimized crystal structure of CsRbBO2. The functional is GGA-PBE.

Computed properties:
The total magnetization is 0.000 μB/cell. The calculation puts the volume at 193.5 Å³/f.u. For the density of states at the Fermi level, the calculation gives 2.132 states/eV per cell. As for the raw formation energy: -1.693 eV/atom.

a = 8.2279 Å, b = 6.0700 Å, c = 8.6929 Å
α = 90.00°, β = 116.95°, γ = 90.00°
Last column: nearest neighbours and their distance in Å.
Space group P2/c (No. 13)
Unique sites:
Cs 0.0000 0.1811 0.2500  2 O 3.11
Rb 0.5000 0.4927 0.7500  4 O 2.93-2.95
B 0.5000 0.0000 0.0000  2 O 1.27
O 0.4228 0.1874 0.4614  1 B 1.27